(1)
Density functional theory data (GGA-PBE) for a geometry-optimized Ce2GaNi4 structure.

Cell: 4.824 11.625 4.766 Å, 90.00 90.00 90.00°
Fractional positions:
Ce 0.000 0.148 0.000
Ce 0.000 0.852 0.000
Ce 0.500 0.352 0.000
Ce 0.500 0.648 0.000
Ga 0.000 0.500 0.500
Ga 0.500 0.000 0.500
Ni 0.000 0.101 0.500
Ni 0.000 0.398 0.000
Ni 0.000 0.602 0.000
Ni 0.000 0.899 0.500
Ni 0.500 0.102 0.000
Ni 0.500 0.399 0.500
Ni 0.500 0.601 0.500
Ni 0.500 0.898 0.000

## Properties
The size of the total moment comes out at 0.000 μB/cell. The calculation puts the total energy at -0.1912 hartree per atom.

(2)
Density functional theory data (GGA-PBE) for a geometry-optimized KZrTa2 structure.

Cell: 4.148 4.148 10.150 Å, 90.00 90.00 90.00°
Fractional positions:
K 0.000 0.000 0.000
K 0.500 0.500 0.500
Zr 0.000 0.000 0.500
Zr 0.500 0.500 0.000
Ta 0.000 0.500 0.250
Ta 0.000 0.500 0.750
Ta 0.500 0.000 0.250
Ta 0.500 0.000 0.750

## Properties
The polymorph energy (0 for the lowest one) is 789 meV/atom. The size of the total moment comes out at 0.000 μB/cell.

(3)
Density functional theory data (GGA-PBE) for a geometry-optimized Ac2Ga7Ir structure.

Cell: 4.468 4.468 10.672 Å, 90.00 90.00 90.00°
Fractional positions:
Ac 0.000 0.500 0.243
Ac 0.500 0.000 0.757
Ga 0.000 0.000 0.000
Ga 0.000 0.000 0.500
Ga 0.000 0.500 0.634
Ga 0.000 0.500 0.879
Ga 0.500 0.000 0.121
Ga 0.500 0.000 0.366
Ga 0.500 0.500 0.500
Ir 0.500 0.500 0.000

## Properties
The size of the total moment comes out at 0.000 μB/cell. The calculation puts the total energy at -0.1599 hartree per atom.